Here is a relaxed structure of GaCoCuAs from the Open Quantum Materials Database. Energies are from PBE.

**Uncorrected energy**: -18.0 eV for the cell shown
**Theoretical density**: 8.17 g cm⁻³
**Space-group type**: F-43m, No. 216

Cell and atoms, written as extended XYZ:
```
4
Lattice="0.0000 3.0050 3.0050 3.0050 0.0000 3.0050 3.0050 3.0050 0.0000" Properties=species:S:1:pos:R:3 pbc="T T T"
As 3.0050 3.0050 3.0050
Cu 4.5075 4.5075 4.5075
Co 1.5025 1.5025 1.5025
Ga 0.0000 0.0000 0.0000
```